Material: La2BeAl
Method: DFT, PBE-GGA
State: optimized geometry

Magnetic moment: 0.00 μB/f.u.
Energy of formation: 251.9 meV/atom
Excess energy over the best structure of this formula in the dataset: 364 meV/atom
Calculated total energy: -4.079 eV per atom

Cell and atoms, written as POSCAR:
```
La2BeAl
1.0
-6.2224 -6.7585 1.5820
-3.7318 -8.5184 -0.6397
-3.0881 -8.2432 3.0679
Be Al La
1 1 2
direct
0.7500 0.7500 0.7500
0.2500 0.2500 0.2500
0.4947 0.4947 0.4947
0.0053 0.0053 0.0053
```

***

Material: Pr2NdIn9
Method: DFT, PBE-GGA
State: optimized geometry

Magnetic moment: 0.00 μB/f.u.
Energy of formation: -473.6 meV/atom
Calculated total energy: -3.721 eV per atom

Cell and atoms, written as POSCAR:
```
Pr2NdIn9
1.0
4.7309 0.0000 0.0000
0.0000 4.7309 0.0000
0.0000 0.0000 14.1987
In Pr Nd
9 2 1
direct
0.0000 0.5000 0.5000
0.5000 0.0000 0.8342
0.5000 0.5000 0.6669
0.0000 0.5000 0.8342
0.5000 0.5000 0.0000
0.5000 0.5000 0.3331
0.5000 0.0000 0.5000
0.5000 0.0000 0.1658
0.0000 0.5000 0.1658
0.0000 0.0000 0.3328
0.0000 0.0000 0.6672
0.0000 0.0000 0.0000
```

***

Material: Sc5Tl2Tc
Method: DFT, PBE-GGA
State: optimized geometry

Magnetic moment: 0.00 μB/f.u.
Energy of formation: -254.0 meV/atom
Calculated total energy: -6.099 eV per atom

Cell and atoms, written as POSCAR:
```
Sc5Tl2Tc
1.0
4.7083 0.0000 0.0000
0.0000 6.2129 0.0000
0.0000 0.0000 11.9407
Tc Tl Sc
2 4 10
direct
0.0000 0.0000 0.5000
0.0000 0.5000 0.0000
0.5000 0.3571 0.3529
0.5000 0.6429 0.6471
0.5000 0.8571 0.1471
0.5000 0.1429 0.8529
0.5000 0.8326 0.4027
0.0000 0.0000 0.0000
0.0000 0.1026 0.2792
0.5000 0.1674 0.5973
0.5000 0.6674 0.9027
0.0000 0.6026 0.2208
0.0000 0.5000 0.5000
0.0000 0.8974 0.7208
0.0000 0.3974 0.7792
0.5000 0.3326 0.0973
```

***

Material: Ac3Ge7Os2
Method: DFT, PBE-GGA
State: optimized geometry

Magnetic moment: 0.00 μB/f.u.
Energy of formation: -476.8 meV/atom
Calculated total energy: -6.069 eV per atom

Cell and atoms, written as POSCAR:
```
Ac3Ge7Os2
1.0
4.5586 0.0000 0.0000
0.0000 4.5462 -0.0027
0.0000 -2.2606 13.2974
Ac Ge Os
3 7 2
direct
0.0000 0.8175 0.6339
0.5000 0.5000 0.0000
0.0000 0.1825 0.3661
0.0000 0.5875 0.1770
0.5000 0.9130 0.8244
0.5000 0.0870 0.1756
0.0000 0.0000 0.0000
0.0000 0.4125 0.8230
0.5000 0.7190 0.4398
0.5000 0.2810 0.5602
0.5000 0.3737 0.7454
0.5000 0.6263 0.2546
```

***

Material: Pr5TeRu2
Method: DFT, PBE-GGA
State: optimized geometry

Magnetic moment: 0.00 μB/f.u.
Energy relative to the elements, uncorrected: -0.472 eV per atom
Calculated total energy: -6.171 eV per atom

Cell and atoms, written as POSCAR:
```
Pr5TeRu2
1.0
-0.3017 -3.1778 -7.4747
-3.0434 -6.8907 3.0524
-4.6774 7.4899 1.4235
Ru Pr Te
4 10 2
direct
0.3579 0.8579 0.0000
0.6421 0.1421 0.0000
0.8579 0.6421 0.0000
0.1421 0.3579 0.0000
0.2893 0.7893 0.2679
0.0000 0.0000 0.0000
0.5000 0.5000 0.0000
0.5214 0.7107 0.7321
0.0214 0.5214 0.7321
0.7107 0.2107 0.7321
0.9786 0.4786 0.2679
0.4786 0.2893 0.2679
0.2107 0.0214 0.7321
0.7893 0.9786 0.2679
0.2500 0.2500 0.5000
0.7500 0.7500 0.5000
```

***

Material: La3DyHo6
Method: DFT, PBE-GGA
State: optimized geometry

Magnetic moment: 0.00 μB/f.u.
Energy of formation: 153.2 meV/atom
Excess energy over the best structure of this formula in the dataset: 0 meV/atom
Calculated total energy: -4.532 eV per atom

Cell and atoms, written as POSCAR:
```
La3DyHo6
1.0
6.3420 0.0000 0.0000
0.0000 10.8967 -1.6192
0.0000 -4.0100 10.2606
Ho La Dy
12 6 2
direct
0.5467 0.6209 0.7143
0.5467 0.2857 0.3791
0.8714 0.9533 0.5317
0.3714 0.5317 0.9533
0.0467 0.3791 0.2857
0.0467 0.7143 0.6209
0.6424 0.2747 0.7253
0.8714 0.4683 0.0467
0.3796 0.9613 0.0387
0.3714 0.0467 0.4683
0.8796 0.0387 0.9613
0.1424 0.7253 0.2747
0.4663 0.9397 0.7131
0.4663 0.2869 0.0603
0.9663 0.0603 0.2869
0.9663 0.7131 0.9397
0.5681 0.6118 0.3882
0.0681 0.3882 0.6118
0.6263 0.8043 0.1957
0.1263 0.1957 0.8043
```

***

Material: Na2YReN4
Method: DFT, PBE-GGA
State: optimized geometry

Magnetic moment: 0.00 μB/f.u.
Energy relative to the elements, uncorrected: -0.590 eV per atom
Calculated total energy: -7.447 eV per atom

Cell and atoms, written as POSCAR:
```
Na2YReN4
1.0
6.8016 0.5329 0.2091
0.5278 6.8020 0.2090
-3.4884 -3.4908 4.9752
N Y Na Re
8 2 4 2
direct
0.1884 0.1881 0.9178
0.8421 0.2144 0.0404
0.7141 0.3423 0.5160
0.6878 0.6882 0.9585
0.1578 0.7858 0.9840
0.8118 0.8122 0.5415
0.3119 0.3116 0.5822
0.2856 0.6579 0.4596
0.0122 0.5123 0.0122
0.9877 0.4879 0.4878
0.0008 0.0000 0.4518
0.5000 0.4992 0.0482
0.4731 0.9731 0.4727
0.5269 0.0269 0.0273
0.9999 0.0001 0.8887
0.4999 0.5001 0.6113
```

***

Material: Rb2Bi2Pd3
Method: DFT, PBE-GGA
State: optimized geometry

Magnetic moment: 0.00 μB/f.u.
Energy of formation: -303.0 meV/atom
Calculated total energy: -3.914 eV per atom

Cell and atoms, written as POSCAR:
```
Rb2Bi2Pd3
1.0
-0.5968 1.5018 4.2197
-0.6738 -5.7246 4.3615
6.7432 1.3867 2.8794
Rb Pd Bi
2 3 2
direct
0.0738 0.6058 0.2466
0.9262 0.3942 0.7534
0.6944 0.0014 0.6098
0.5000 0.0000 0.0000
0.3056 0.9986 0.3902
0.1888 0.8570 0.7654
0.8112 0.1430 0.2346
```

***

Material: YFeSb2
Method: DFT, PBE-GGA
State: optimized geometry

Magnetic moment: 2.30 μB/f.u.
Energy relative to the elements, uncorrected: -0.112 eV per atom
Calculated total energy: -5.904 eV per atom

Cell and atoms, written as POSCAR:
```
YFeSb2
1.0
-2.3050 -0.8324 2.4256
2.3900 -1.8798 1.6260
1.9985 5.9494 3.9408
Sb Fe Y
2 1 1
direct
0.0000 0.0000 0.9590
0.0000 0.0000 0.5410
0.5000 0.5000 0.7500
0.5000 0.5000 0.2500
```

***

Material: Sn2IBr2
Method: DFT, PBE-GGA
State: optimized geometry

Magnetic moment: 0.00 μB/f.u.
Energy relative to the elements, uncorrected: -0.383 eV per atom
Excess energy over the best structure of this formula in the dataset: 0 meV/atom
Calculated total energy: -2.963 eV per atom

Cell and atoms, written as POSCAR:
```
Sn2IBr2
1.0
4.0565 0.0000 0.0000
2.0282 3.5130 0.0000
2.0282 1.1710 12.2653
Br Sn I
2 2 1
direct
0.2138 0.2138 0.3587
0.7862 0.7862 0.6413
0.4011 0.4011 0.7966
0.5989 0.5989 0.2034
0.0000 0.0000 0.0000
```

***

Material: Sr2Zn4Ag3Au
Method: DFT, PBE-GGA
State: optimized geometry

Magnetic moment: 0.00 μB/f.u.
Energy of formation: -282.7 meV/atom
Calculated total energy: -2.312 eV per atom

Cell and atoms, written as POSCAR:
```
Sr2Zn4Ag3Au
1.0
-0.1986 0.6601 4.5207
-0.0596 -4.5250 0.6581
10.6859 -0.0709 0.4797
Zn Sr Ag Au
4 2 3 1
direct
0.0000 0.5000 0.3738
0.5000 0.5000 0.0000
0.0000 0.0000 0.0000
0.5000 0.0000 0.6262
0.0000 0.5000 0.7454
0.5000 0.0000 0.2546
0.5000 0.0000 0.8696
0.0000 0.0000 0.5000
0.0000 0.5000 0.1304
0.5000 0.5000 0.5000
```

***

Material: Sm2Cd2Hg
Method: DFT, PBE-GGA
State: optimized geometry

Magnetic moment: 0.00 μB/f.u.
Energy of formation: -182.4 meV/atom
Excess energy over the best structure of this formula in the dataset: 131 meV/atom
Calculated total energy: -2.496 eV per atom

Cell and atoms, written as POSCAR:
```
Sm2Cd2Hg
1.0
-4.9919 0.1562 -3.1802
-2.2848 -5.0255 3.3397
0.7006 6.9833 4.7550
Cd Sm Hg
4 4 2
direct
0.4043 0.0468 0.8086
0.5957 0.9532 0.1914
0.0957 0.2382 0.1914
0.9043 0.7618 0.8086
0.1757 0.8525 0.3514
0.8243 0.1475 0.6486
0.3243 0.5011 0.6486
0.6757 0.4989 0.3514
0.7500 0.5000 0.0000
0.2500 0.5000 0.0000
```